DFT (PBE) results for CeCdCu after structural relaxation.

abc: 4.8029 4.8029 3.2812
angles: 90.00 90.00 120.00
With the nearest neighbours (Å) after each atom.
Sites, in units of the cell vectors:
Ce1 0.0000 0.0000 0.0000  6 Cd 3.22, 6 Cu 3.22, 2 Ce 3.28
Cd1 0.3333 0.6667 0.5000  3 Cu 2.77
Cu1 0.6667 0.3333 0.5000  3 Cd 2.77

Results
Its formation energy is -0.13 eV/atom. As for the space group: P-6m2 (187). Its total energy is -3.778 eV per atom. Its polymorph energy (0 for the lowest one) is 40 meV per atom.